CrCuI2N PBE-GGA optimized geometry; energy relative to the elements, uncorrected = 0.86 eV/atom; SG = P4/mmm (123); density = 5.5 Mg/m³; excess energy over the best structure of this formula in the dataset = 482.3 meV per atom
1.0
5.613 0.000 0.000
0.000 5.613 0.000
0.000 0.000 3.700
Cr Cu I N
1 1 2 1
Cartesian
0.000 0.000 0.000
2.807 2.807 1.850
0.000 2.807 1.850
2.807 0.000 1.850
2.807 2.807 0.000

***

Na2CrCuI PBE-GGA optimized geometry; energy relative to the elements, uncorrected = 0.64 eV/atom; SG = P4/mmm (123); density = 2.7 Mg/m³
1.0
5.894 0.000 0.000
0.000 5.894 0.000
0.000 0.000 5.165
Na Cr Cu I
2 1 1 1
Cartesian
0.000 2.947 0.000
2.947 0.000 0.000
0.000 0.000 2.583
2.947 2.947 2.583
2.947 2.947 0.000

***

NaCrCuI2 PBE-GGA optimized geometry; energy relative to the elements, uncorrected = 0.81 eV/atom; SG = P4/mmm (123); density = 3.6 Mg/m³
1.0
5.753 0.000 0.000
0.000 5.753 0.000
0.000 0.000 5.440
Na Cr Cu I
1 1 1 2
Cartesian
0.000 0.000 0.000
0.000 0.000 2.720
2.877 2.877 2.720
0.000 2.877 0.000
2.877 0.000 0.000

***

Cr2CuNiI PBE-GGA optimized geometry; energy relative to the elements, uncorrected = 1.17 eV/atom; SG = P4/mmm (123); density = 5.5 Mg/m³
1.0
4.717 0.000 0.000
0.000 4.717 0.000
0.000 0.000 4.831
Cr Cu Ni I
2 1 1 1
Cartesian
0.000 2.358 0.000
2.358 0.000 0.000
0.000 0.000 2.415
2.358 2.358 0.000
2.358 2.358 2.415

***

RbCrCu2I6 PBE-GGA optimized geometry; energy relative to the elements, uncorrected = -0.40 eV/atom; SG = C2/c (15); density = 4.1 Mg/m³
1.0
7.693 -7.085 0.000
7.693 7.085 0.000
-3.354 0.000 7.600
Rb Cr Cu I
2 2 4 12
Cartesian
5.178 4.518 5.700
6.855 -4.518 1.900
6.855 4.470 1.900
5.178 -4.470 5.700
2.030 0.693 6.216
3.707 -0.693 2.416
8.326 0.693 5.185
10.003 -0.693 1.385
-0.527 0.928 5.283
5.801 2.997 0.021
1.150 -0.928 1.482
3.506 1.166 4.171
7.909 2.997 3.779
5.183 -1.166 0.371
6.850 1.166 7.230
4.124 -2.997 3.822
8.527 -1.166 3.429
10.883 0.928 6.118
6.232 -2.997 7.579
12.560 -0.928 2.318

***

Rb2CrCuI6 PBE-GGA optimized geometry; energy relative to the elements, uncorrected = -0.69 eV/atom; SG = I4/mmm (139); density = 4.7 Mg/m³
1.0
-3.956 3.956 5.900
3.956 -3.956 5.900
3.956 3.956 -5.900
Rb Cr Cu I
2 1 1 6
Cartesian
3.956 0.000 2.950
0.000 3.956 2.950
0.000 0.000 0.000
0.000 0.000 5.900
0.000 0.000 2.766
1.993 1.993 0.000
1.963 -1.963 5.900
-1.963 1.963 5.900
1.963 1.963 5.900
0.000 0.000 9.034

***

Rb2CrCu2I6 PBE-GGA optimized geometry; energy relative to the elements, uncorrected = -0.63 eV/atom; SG = C2/m (12); density = 4.2 Mg/m³
1.0
7.476 -3.978 0.000
7.476 3.978 0.000
-3.993 0.000 7.369
Rb Cr Cu I
2 1 2 6
Cartesian
2.414 0.000 1.519
8.546 0.000 5.850
-1.996 0.000 3.684
3.630 0.000 5.294
7.330 0.000 2.075
5.884 2.077 1.718
1.155 0.000 4.964
5.076 2.077 5.651
5.884 -2.077 1.718
9.805 0.000 2.405
5.076 -2.077 5.651

***

RbCrCu2I8 PBE-GGA optimized geometry; energy relative to the elements, uncorrected = -0.38 eV/atom; SG = C2/m (12); density = 4.6 Mg/m³
1.0
5.825 -3.856 0.000
5.825 3.856 0.000
-2.913 0.000 10.268
Rb Cr Cu I
1 1 2 8
Cartesian
0.000 0.000 0.000
-1.456 0.000 5.134
2.641 0.000 7.134
6.095 0.000 3.134
4.343 1.986 3.118
1.269 0.000 5.002
4.393 1.986 7.150
1.445 0.000 9.379
7.292 0.000 0.889
4.343 -1.986 3.118
7.467 0.000 5.266
4.393 -1.986 7.150

***

RbCrCuI6 PBE-GGA optimized geometry; energy relative to the elements, uncorrected = -0.49 eV/atom; SG = P1 (1); density = 4.3 Mg/m³
1.0
7.096 0.000 0.000
-2.496 6.713 0.000
-1.305 -0.815 7.725
Rb Cr Cu I
1 1 1 6
Cartesian
0.000 0.000 0.000
0.960 3.686 3.900
4.493 1.799 3.467
-1.154 3.771 2.149
-0.334 1.440 4.821
-0.032 5.221 5.870
2.332 2.272 1.945
2.071 5.927 2.667
3.097 2.987 5.464

***

CrCuSbI2 PBE-GGA optimized geometry; energy relative to the elements, uncorrected = 0.64 eV/atom; SG = P4/mmm (123); density = 5.2 Mg/m³; excess energy over the best structure of this formula in the dataset = 0.0 meV per atom
1.0
5.475 0.000 0.000
0.000 5.475 0.000
0.000 0.000 5.210
Cr Cu Sb I
1 1 1 2
Cartesian
0.000 0.000 0.000
2.738 2.738 2.605
0.000 0.000 2.605
0.000 2.738 0.000
2.738 0.000 0.000

***

Sr2CrCuI PBE-GGA optimized geometry; energy relative to the elements, uncorrected = 0.39 eV/atom; SG = P4/mmm (123); density = 3.7 Mg/m³
1.0
5.918 0.000 0.000
0.000 5.918 0.000
0.000 0.000 5.288
Sr Cr Cu I
2 1 1 1
Cartesian
0.000 2.959 0.000
2.959 0.000 0.000
0.000 0.000 2.644
2.959 2.959 0.000
2.959 2.959 2.644

***

ZnCr2CuI PBE-GGA optimized geometry; energy relative to the elements, uncorrected = 1.32 eV/atom; SG = P4/mmm (123); density = 4.7 Mg/m³
1.0
4.883 0.000 0.000
0.000 4.883 0.000
0.000 0.000 5.389
Zn Cr Cu I
1 2 1 1
Cartesian
0.000 0.000 0.000
0.000 2.441 0.000
2.441 0.000 0.000
2.441 2.441 2.695
0.000 0.000 2.695

***

CrIn3Cu PBE-GGA optimized geometry; SG = Pm-3m (221); density = 6.0 Mg/m³; excess energy over the best structure of this formula in the dataset = 0.0 meV per atom; ΔE_f = 2.758 eV/f.u.
1.0
5.022 0.000 0.000
0.000 5.022 0.000
0.000 0.000 5.022
Cr In Cu
1 3 1
Cartesian
0.000 0.000 0.000
0.000 2.511 2.511
2.511 0.000 2.511
2.511 2.511 0.000
2.511 2.511 2.511

***

CrIn2Cu PBE-GGA optimized geometry; SG = R-3m (166); density = 7.4 Mg/m³; ΔE_f = 1.410 eV/f.u.
1.0
1.612 0.931 8.606
-1.612 0.931 8.606
0.000 -1.862 8.606
Cr In Cu
1 2 1
Cartesian
0.000 0.000 0.000
0.000 0.000 6.345
0.000 0.000 19.473
0.000 0.000 12.909

***

CrIn2Cu PBE-GGA optimized geometry; SG = C2/m (12); density = 8.0 Mg/m³; ΔE_f = 0.943 eV/f.u.
1.0
3.198 -3.188 0.000
3.198 3.188 0.000
-0.007 0.000 3.518
Cr In Cu
1 2 1
Cartesian
0.000 0.000 0.000
1.595 1.594 1.759
1.595 -1.594 1.759
3.198 0.000 0.000

***

CrIn2Cu PBE-GGA optimized geometry; SG = Fm-3m (225); density = 7.9 Mg/m³; ΔE_f = 1.013 eV/f.u.
1.0
0.000 3.308 3.308
3.308 0.000 3.308
3.308 3.308 0.000
Cr In Cu
1 2 1
Cartesian
0.000 0.000 0.000
1.654 1.654 1.654
4.962 4.962 4.962
3.308 3.308 3.308

***

CrIn2Cu PBE-GGA optimized geometry; SG = I-42d (122); density = 7.7 Mg/m³; ΔE_f = 2.907 eV/f.u.
1.0
-3.597 3.597 2.885
3.597 -3.597 2.885
3.597 3.597 -2.885
Cr In Cu
2 4 2
Cartesian
0.000 0.000 0.000
0.000 3.597 1.443
1.799 -1.682 2.164
1.916 1.799 0.721
1.799 5.279 -0.721
1.682 1.799 3.606
3.597 0.000 1.443
0.000 0.000 2.885

***

CrIn2Cu PBE-GGA optimized geometry; SG = P4mm (99); density = 7.5 Mg/m³; ΔE_f = 1.143 eV/f.u.
1.0
3.372 0.000 0.000
0.000 3.372 0.000
0.000 0.000 6.750
Cr In Cu
1 2 1
Cartesian
0.000 0.000 0.000
0.000 0.000 2.863
1.686 1.686 5.100
1.686 1.686 1.267

***

CrIn2Cu PBE-GGA optimized geometry; SG = P4/mmm (123); density = 7.9 Mg/m³; ΔE_f = 1.045 eV/f.u.
1.0
3.224 0.000 0.000
0.000 3.224 0.000
0.000 0.000 6.994
Cr In Cu
1 2 1
Cartesian
0.000 0.000 0.000
1.612 1.612 1.823
1.612 1.612 5.171
0.000 0.000 3.497

***

CrIn2Cu PBE-GGA optimized geometry; SG = Cm (8); density = 7.7 Mg/m³; ΔE_f = 1.105 eV/f.u.
1.0
5.117 -1.636 0.000
5.117 1.636 0.000
-1.438 0.000 4.427
Cr In Cu
1 2 1
Cartesian
0.000 0.000 0.000
1.352 0.000 3.599
4.112 0.000 2.095
6.896 0.000 1.258

***

Cr3InCu PBE-GGA optimized geometry; SG = Pm-3m (221); density = 5.5 Mg/m³; excess energy over the best structure of this formula in the dataset = 0.0 meV per atom; ΔE_f = 5.552 eV/f.u.
1.0
4.654 0.000 0.000
0.000 4.654 0.000
0.000 0.000 4.654
Cr In Cu
3 1 1
Cartesian
0.000 0.000 2.327
0.000 2.327 0.000
2.327 0.000 0.000
2.327 2.327 2.327
0.000 0.000 0.000

***

CrIn2Cu PBE-GGA optimized geometry; SG = F-43m (216); density = 7.6 Mg/m³; ΔE_f = 1.508 eV/f.u.
1.0
0.000 3.346 3.346
3.346 0.000 3.346
3.346 3.346 0.000
Cr In Cu
1 2 1
Cartesian
0.000 0.000 0.000
3.346 3.346 3.346
5.019 5.019 5.019
1.673 1.673 1.673

***

CrIn2Cu PBE-GGA optimized geometry; SG = I-4m2 (119); density = 7.8 Mg/m³; ΔE_f = 1.072 eV/f.u.
1.0
-2.045 2.045 4.375
2.045 -2.045 4.375
2.045 2.045 -4.375
Cr In Cu
1 2 1
Cartesian
0.000 0.000 0.000
0.000 0.000 4.375
0.000 2.045 2.188
2.045 0.000 2.188

***

CrIn2Cu PBE-GGA optimized geometry; SG = C2/m (12); density = 7.5 Mg/m³; ΔE_f = 1.375 eV/f.u.
1.0
4.495 -1.586 0.000
4.495 1.586 0.000
-1.157 0.000 5.357
Cr In Cu
1 2 1
Cartesian
0.000 0.000 0.000
1.341 0.000 3.971
6.492 0.000 1.386
3.916 0.000 2.679

***

MgCrIn2Cu PBE-GGA optimized geometry; SG = P4/mmm (123); density = 5.1 Mg/m³; ΔE_f = 2.371 eV/f.u.
1.0
4.943 0.000 0.000
0.000 4.943 0.000
0.000 0.000 4.915
Mg Cr In Cu
1 1 2 1
Cartesian
0.000 0.000 0.000
2.471 2.471 0.000
0.000 2.471 2.457
2.471 0.000 2.457
2.471 2.471 2.457

***

Na2CrInCu PBE-GGA optimized geometry; SG = P4/mmm (123); density = 3.4 Mg/m³; ΔE_f = 3.113 eV/f.u.
1.0
5.215 0.000 0.000
0.000 5.215 0.000
0.000 0.000 4.991
Na Cr In Cu
2 1 1 1
Cartesian
0.000 2.608 0.000
2.608 0.000 0.000
0.000 0.000 2.496
2.608 2.608 2.496
2.608 2.608 0.000